No. 1
ZnGaSe | PBE-GGA | optimized geometry

Values from the calculation:
ΔE_f (raw) = -0.252 eV/atom

a b c (Å): 3.9948 6.2686 6.3394
angles (deg): 60.92 73.73 74.34
Positions (direct):
1 Zn 0.0000 0.0000 0.0000
2 Zn 0.2722 0.5792 0.5545
3 Ga 0.4981 0.1340 0.5847
4 Ga 0.6089 0.6803 0.0946
5 Se 0.1186 0.0393 0.3714
6 Se 0.7076 0.4533 0.8353

---

No. 2
ThTiNb2 | PBE-GGA | optimized geometry

Values from the calculation:
Energy relative to the elements = 3.475 kcal/mol of atoms

a b c (Å): 4.8758 4.8758 4.8758
angles (deg): 60.00 60.00 60.00
Positions (direct):
1 Th 0.0000 0.0000 0.0000
2 Ti 0.5000 0.5000 0.5000
3 Nb 0.2500 0.2500 0.2500
4 Nb 0.7500 0.7500 0.7500

---

No. 3
CaSi2H | PBE-GGA | optimized geometry

Values from the calculation:
Raw total energy = -4.276 eV per atom

a b c (Å): 3.8459 4.2016 4.4926
angles (deg): 86.48 89.60 64.66
Positions (direct):
1 Ca 0.0000 0.0000 0.0000
2 Si 0.3351 0.3188 0.4518
3 Si 0.6694 0.6706 0.5348
4 H 0.6724 0.6516 0.9001

---

No. 4
ErTh2PN5 | PBE-GGA | optimized geometry

Values from the calculation:
ΔE_f (raw) = -0.960 eV/atom

a b c (Å): 6.7083 6.7083 5.5969
angles (deg): 90.00 90.00 90.00
Positions (direct):
1 Er 0.0000 0.0000 0.0000
2 Er 0.5000 0.5000 0.0000
3 Th 0.1785 0.3215 0.5000
4 Th 0.3215 0.8215 0.5000
5 Th 0.6785 0.1785 0.5000
6 Th 0.8215 0.6785 0.5000
7 P 0.0000 0.5000 0.0000
8 P 0.5000 0.0000 0.0000
9 N 0.0000 0.0000 0.5000
10 N 0.1321 0.6321 0.2196
11 N 0.1321 0.6321 0.7804
12 N 0.3679 0.1321 0.2196
13 N 0.3679 0.1321 0.7804
14 N 0.5000 0.5000 0.5000
15 N 0.6321 0.8679 0.2196
16 N 0.6321 0.8679 0.7804
17 N 0.8679 0.3679 0.2196
18 N 0.8679 0.3679 0.7804

---

No. 5
PuCoC | PBE-GGA | optimized geometry

Values from the calculation:
Energy relative to the elements = 0.000 kcal/mol of atoms

a b c (Å): 5.1709 3.4499 5.2780
angles (deg): 90.00 113.35 90.00
Positions (direct):
1 Pu 0.1868 0.2500 0.3219
2 Pu 0.8132 0.7500 0.6781
3 Co 0.3427 0.2500 0.8880
4 Co 0.6573 0.7500 0.1120
5 C 0.3290 0.7500 0.7345
6 C 0.6710 0.2500 0.2655

---

No. 6
PaMnCu | PBE-GGA | optimized geometry

Values from the calculation:
Energy relative to the elements = 7.228 kcal/mol of atoms

a b c (Å): 8.9336 8.9336 8.9336
angles (deg): 156.44 156.44 33.56
Positions (direct):
1 Pa 0.1430 0.1430 0.0000
2 Pa 0.8570 0.8570 0.0000
3 Mn 0.2705 0.2705 0.0000
4 Mn 0.7295 0.7295 0.0000
5 Cu 0.4331 0.4331 0.0000
6 Cu 0.5669 0.5669 0.0000

---

No. 7
Pm3AlGe6Pt2 | PBE-GGA | optimized geometry

Values from the calculation:
Energy relative to the elements = -9.327 kcal/mol of atoms

a b c (Å): 5.9502 5.9502 8.2835
angles (deg): 90.00 90.00 120.00
Positions (direct):
1 Pm 0.0000 0.0000 0.0000
2 Pm 0.3333 0.6667 0.6296
3 Pm 0.6667 0.3333 0.3704
4 Al 0.0000 0.0000 0.5000
5 Ge 0.1880 0.3761 0.2781
6 Ge 0.1880 0.8120 0.2781
7 Ge 0.3761 0.1880 0.7219
8 Ge 0.6239 0.8120 0.2781
9 Ge 0.8120 0.1880 0.7219
10 Ge 0.8120 0.6239 0.7219
11 Pt 0.3333 0.6667 0.0189
12 Pt 0.6667 0.3333 0.9811

---

No. 8
PmPaCl2 | PBE-GGA | optimized geometry

Values from the calculation:
ΔE_f (raw) = -1.048 eV/atom

a b c (Å): 10.0584 10.0584 10.0584
angles (deg): 19.54 19.54 19.54
Positions (direct):
1 Pm 0.0000 0.0000 0.0000
2 Pa 0.5000 0.5000 0.5000
3 Cl 0.4037 0.4037 0.4037
4 Cl 0.5963 0.5963 0.5963

---

No. 9
TbZrIn3 | PBE-GGA | optimized geometry

Values from the calculation:
Energy relative to the elements = -1.333 kcal/mol of atoms

a b c (Å): 7.7459 7.7459 7.7459
angles (deg): 147.41 147.41 46.75
Positions (direct):
1 Tb 0.0000 0.0000 0.0000
2 Zr 0.6367 0.6367 0.0000
3 In 0.2820 0.7820 0.5000
4 In 0.4368 0.4368 0.0000
5 In 0.7820 0.2820 0.5000

---

No. 10
ZnMo2I | PBE-GGA | optimized geometry

Values from the calculation:
ΔE_f (raw) = 0.912 eV/atom

a b c (Å): 10.0130 10.0130 10.0130
angles (deg): 156.49 156.49 33.49
Positions (direct):
1 Zn 0.0000 0.0000 0.0000
2 Zn 0.7500 0.2500 0.5000
3 Mo 0.0569 0.6250 0.9319
4 Mo 0.3750 0.3069 0.4319
5 Mo 0.6931 0.1250 0.0681
6 Mo 0.8750 0.9431 0.5681
7 I 0.2500 0.7500 0.5000
8 I 0.5000 0.5000 0.0000

---

No. 11
VCo2I | PBE-GGA | optimized geometry

Values from the calculation:
ΔE_f (raw) = 0.890 eV/atom

a b c (Å): 6.4504 6.4504 6.4504
angles (deg): 129.02 129.02 74.97
Positions (direct):
1 V 0.0000 0.0000 0.0000
2 V 0.7500 0.2500 0.5000
3 Co 0.0867 0.6250 0.9617
4 Co 0.3750 0.3367 0.4617
5 Co 0.6633 0.1250 0.0383
6 Co 0.8750 0.9133 0.5383
7 I 0.2500 0.7500 0.5000
8 I 0.5000 0.5000 0.0000

---

No. 12
Zr3Cu2Pd8 | PBE-GGA | optimized geometry

Values from the calculation:
Energy relative to the elements = -6.854 kcal/mol of atoms

a b c (Å): 9.9527 9.9527 9.9527
angles (deg): 30.73 30.73 30.73
Positions (direct):
1 Zr 0.0000 0.0000 0.0000
2 Zr 0.1898 0.1898 0.1898
3 Zr 0.8102 0.8102 0.8102
4 Cu 0.3657 0.3657 0.3657
5 Cu 0.6343 0.6343 0.6343
6 Pd 0.2278 0.7289 0.7289
7 Pd 0.2711 0.2711 0.7722
8 Pd 0.2711 0.7722 0.2711
9 Pd 0.2816 0.2816 0.2816
10 Pd 0.7184 0.7184 0.7184
11 Pd 0.7289 0.2278 0.7289
12 Pd 0.7289 0.7289 0.2278
13 Pd 0.7722 0.2711 0.2711

---

| no. | spin magnetization (μB per atom) |
| --- | --- |
| 1 | 0.000 |
| 2 | 0.000 |
| 3 | 0.000 |
| 4 | 0.000 |
| 5 | 1.697 |
| 6 | 0.227 |
| 7 | 0.000 |
| 8 | 0.285 |
| 9 | 0.000 |
| 10 | 0.000 |
| 11 | 0.000 |
| 12 | 0.000 |